# 1
{
  "formula": "Ag3Sn5Cl12",
  "functional": "PBE",
  "state": "optimized geometry",
  "cell": [[-2.8395, 0.9620, 14.4233], [-10.8813, -7.3602, -6.6668], [12.7241, -7.1400, -2.0344]],
  "species": ["Ag", "Ag", "Ag", "Ag", "Ag", "Ag", "Ag", "Ag", "Ag", "Ag", "Ag", "Ag", "Sn", "Sn", "Sn", "Sn", "Sn", "Sn", "Sn", "Sn", "Sn", "Sn", "Sn", "Sn", "Sn", "Sn", "Sn", "Sn", "Sn", "Sn", "Sn", "Sn", "Cl", "Cl", "Cl", "Cl", "Cl", "Cl", "Cl", "Cl", "Cl", "Cl", "Cl", "Cl", "Cl", "Cl", "Cl", "Cl", "Cl", "Cl", "Cl", "Cl", "Cl", "Cl", "Cl", "Cl", "Cl", "Cl", "Cl", "Cl", "Cl", "Cl", "Cl", "Cl", "Cl", "Cl", "Cl", "Cl", "Cl", "Cl", "Cl", "Cl", "Cl", "Cl", "Cl", "Cl", "Cl", "Cl", "Cl", "Cl"],
  "frac_coords": [[0.7500, 0.3750, 0.1250], [0.8750, 0.7500, 0.1250], [0.3750, 0.7500, 0.6250], [0.2500, 0.1250, 0.3750], [0.8750, 0.1250, 0.2500], [0.3750, 0.6250, 0.2500], [0.6250, 0.3750, 0.7500], [0.1250, 0.8750, 0.7500], [0.7500, 0.8750, 0.6250], [0.6250, 0.2500, 0.3750], [0.1250, 0.2500, 0.8750], [0.2500, 0.6250, 0.8750], [0.1250, 0.3750, 0.2500], [0.0000, 0.5000, 0.0000], [0.0000, 0.0000, 0.0000], [0.3750, 0.2500, 0.1250], [0.5000, 0.0000, 0.5000], [0.5000, 0.5000, 0.0000], [0.1250, 0.7500, 0.3750], [0.7500, 0.1250, 0.8750], [0.7500, 0.6250, 0.3750], [0.3750, 0.1250, 0.7500], [0.6250, 0.8750, 0.2500], [0.5000, 0.5000, 0.5000], [0.5000, 0.0000, 0.0000], [0.0000, 0.0000, 0.5000], [0.2500, 0.3750, 0.6250], [0.2500, 0.8750, 0.1250], [0.0000, 0.5000, 0.5000], [0.8750, 0.2500, 0.6250], [0.6250, 0.7500, 0.8750], [0.8750, 0.6250, 0.7500], [0.7256, 0.1183, 0.0506], [0.3250, 0.5506, 0.4323], [0.9494, 0.3817, 0.2744], [0.5506, 0.2256, 0.1183], [0.6073, 0.7256, 0.6750], [0.9494, 0.5677, 0.1750], [0.3250, 0.7744, 0.3927], [0.0677, 0.8927, 0.1183], [0.5677, 0.9494, 0.6750], [0.7256, 0.6073, 0.1750], [0.7744, 0.4494, 0.3817], [0.8250, 0.9323, 0.0506], [0.1183, 0.7256, 0.5506], [0.3817, 0.4323, 0.1073], [0.1073, 0.9323, 0.3817], [0.3927, 0.1183, 0.5677], [0.1073, 0.1750, 0.2256], [0.4494, 0.6750, 0.0677], [0.8250, 0.8927, 0.2744], [0.1183, 0.3927, 0.0677], [0.3817, 0.9494, 0.7744], [0.5677, 0.6183, 0.3927], [0.9323, 0.8250, 0.5506], [0.7744, 0.3250, 0.8927], [0.4323, 0.3817, 0.6073], [0.0677, 0.1750, 0.4494], [0.2256, 0.6750, 0.1073], [0.1750, 0.1073, 0.7256], [0.6183, 0.0506, 0.2256], [0.8817, 0.6073, 0.9323], [0.5506, 0.3250, 0.9323], [0.6073, 0.8817, 0.4323], [0.8927, 0.8250, 0.7744], [0.8927, 0.0677, 0.6183], [0.8817, 0.2744, 0.4494], [0.1750, 0.0677, 0.9494], [0.6183, 0.5677, 0.8927], [0.4323, 0.0506, 0.3250], [0.2744, 0.3927, 0.8250], [0.2256, 0.5506, 0.6183], [0.9323, 0.1073, 0.8817], [0.6750, 0.2256, 0.6073], [0.4494, 0.7744, 0.8817], [0.0506, 0.4323, 0.8250], [0.3927, 0.2744, 0.3250], [0.0506, 0.6183, 0.7256], [0.6750, 0.4494, 0.5677], [0.2744, 0.8817, 0.9494]],
  "energy_ev_per_atom": -3.135
}

=====

# 2
{
  "formula": "SrAg2SnCl8",
  "functional": "PBE",
  "state": "optimized geometry",
  "cell": [[-2.7798, 4.4553, 4.0187], [1.6471, -4.9953, 4.4869], [7.6956, 1.8029, 2.9699]],
  "species": ["Sr", "Ag", "Ag", "Sn", "Cl", "Cl", "Cl", "Cl", "Cl", "Cl", "Cl", "Cl"],
  "frac_coords": [[0.0000, 0.0000, 0.5000], [0.5148, 0.3329, 0.7052], [0.4852, 0.6671, 0.2948], [0.0000, 0.0000, 0.0000], [0.0963, 0.7615, 0.2708], [0.6627, 0.7725, 0.0128], [0.8617, 0.1942, 0.1619], [0.9037, 0.2385, 0.7292], [0.3373, 0.2275, 0.9872], [0.1383, 0.8058, 0.8381], [0.6014, 0.7386, 0.5678], [0.3986, 0.2614, 0.4322]],
  "energy_ev_per_atom": -3.312
}

=====

# 3
{
  "formula": "Ag2SnTe2Cl2",
  "functional": "PBE",
  "state": "optimized geometry",
  "cell": [[3.9026, 0.0000, 0.0000], [1.9513, 7.3189, 0.6147], [1.9513, 2.3559, 7.4601]],
  "species": ["Ag", "Ag", "Sn", "Te", "Te", "Cl", "Cl"],
  "frac_coords": [[0.1440, 0.4755, 0.2366], [0.8560, 0.5245, 0.7634], [0.0000, 0.0000, 0.0000], [0.5072, 0.2606, 0.7250], [0.4928, 0.7394, 0.2750], [0.2224, 0.7482, 0.8069], [0.7776, 0.2518, 0.1931]],
  "energy_ev_per_atom": -3.103
}

=====

# 4
{
  "formula": "Tl2Ag3SnCl8",
  "functional": "PBE",
  "state": "optimized geometry",
  "cell": [[8.1281, 0.0000, 0.0000], [4.0641, 7.0392, 0.0000], [4.0641, 2.3464, 7.5054]],
  "species": ["Tl", "Tl", "Ag", "Ag", "Ag", "Sn", "Cl", "Cl", "Cl", "Cl", "Cl", "Cl", "Cl", "Cl"],
  "frac_coords": [[0.1350, 0.1350, 0.5951], [0.5046, 0.5046, 0.4863], [0.4939, 0.0224, 0.9898], [0.0224, 0.4939, 0.9898], [0.4939, 0.4939, 0.9898], [0.8662, 0.8662, 0.4015], [0.2719, 0.2719, 0.1844], [0.7060, 0.7060, 0.8820], [0.2459, 0.2459, 0.7806], [0.7277, 0.2459, 0.7806], [0.2459, 0.7277, 0.7806], [0.7733, 0.2330, 0.2204], [0.2330, 0.7733, 0.2204], [0.7733, 0.7733, 0.2204]],
  "energy_ev_per_atom": -2.968
}

=====

# 5
{
  "formula": "TlAgSnCl6",
  "functional": "PBE",
  "state": "optimized geometry",
  "cell": [[6.9502, 0.0000, 0.0000], [-3.4751, 6.0190, 0.0000], [0.0000, 0.0000, 13.5929]],
  "species": ["Tl", "Tl", "Ag", "Ag", "Sn", "Sn", "Cl", "Cl", "Cl", "Cl", "Cl", "Cl", "Cl", "Cl", "Cl", "Cl", "Cl", "Cl"],
  "frac_coords": [[0.0000, 0.0000, 0.0000], [0.0000, 0.0000, 0.5000], [0.3333, 0.6667, 0.2500], [0.6667, 0.3333, 0.7500], [0.6667, 0.3333, 0.2500], [0.3333, 0.6667, 0.7500], [0.6471, 0.6145, 0.1440], [0.9674, 0.3529, 0.1440], [0.3529, 0.9674, 0.6440], [0.0326, 0.6471, 0.8560], [0.3855, 0.3529, 0.3560], [0.9674, 0.6145, 0.3560], [0.6145, 0.9674, 0.8560], [0.6471, 0.0326, 0.3560], [0.0326, 0.3855, 0.6440], [0.3855, 0.0326, 0.1440], [0.6145, 0.6471, 0.6440], [0.3529, 0.3855, 0.8560]],
  "energy_ev_per_atom": -3.123
}

=====

# 6
{
  "formula": "Tl2AgSnCl5",
  "functional": "PBE",
  "state": "optimized geometry",
  "cell": [[-0.8322, -3.1036, 3.5064], [9.1826, -1.2120, -2.1188], [3.1939, 8.9795, 8.7058]],
  "species": ["Tl", "Tl", "Tl", "Tl", "Ag", "Ag", "Sn", "Sn", "Cl", "Cl", "Cl", "Cl", "Cl", "Cl", "Cl", "Cl", "Cl", "Cl"],
  "frac_coords": [[0.8471, 0.6942, 0.8105], [0.1118, 0.2237, 0.6784], [0.1529, 0.3058, 0.3105], [0.8882, 0.7763, 0.1784], [0.7701, 0.5402, 0.5624], [0.2299, 0.4598, 0.0624], [0.5414, 0.0828, 0.9494], [0.4586, 0.9172, 0.4494], [0.3602, 0.7204, 0.9993], [0.6637, 0.3273, 0.8526], [0.4821, 0.9643, 0.7621], [0.2761, 0.5523, 0.6669], [0.9115, 0.8230, 0.5424], [0.6398, 0.2796, 0.4993], [0.3363, 0.6727, 0.3526], [0.5179, 0.0357, 0.2621], [0.7239, 0.4477, 0.1669], [0.0885, 0.1770, 0.0424]],
  "energy_ev_per_atom": -3.168
}